The following is a PBE calculation of a relaxed structure of Tb2HoCu4Si2Ge2, from OQMD via LeMat-Bulk.

Properties
V   380 Å³/cell
Offset from the most stable computed form   0 kJ/mol of formula units
Total magnetization   0.00 Bohr magnetons per cell

Lattice parameters (Å, degrees): 4.1537 6.5962 13.8566 90.00 90.00 90.00
Space group Immm (No. 71)
Inequivalent atoms, fractional coordinates:
Tb1 0.0000 0.0000 0.1302 (multiplicity 4)
Ho1 0.0000 0.5000 0.0000 (multiplicity 2)
Cu1 0.0000 0.1900 0.3266 (multiplicity 8)
Si1 0.0000 0.5000 0.2158 (multiplicity 4)
Ge1 0.0000 0.3065 0.5000 (multiplicity 4)

=====

The following is a PBE calculation of a relaxed structure of HoTm2Cu4Si2Ge2, from OQMD via LeMat-Bulk.

Properties
V   371 Å³/cell
Offset from the most stable computed form   0 kJ/mol of formula units
Total magnetization   0.00 Bohr magnetons per cell

Lattice parameters (Å, degrees): 4.1023 6.5939 13.7165 90.00 90.00 90.00
Space group Immm (No. 71)
Inequivalent atoms, fractional coordinates:
Ho1 0.0000 0.0000 0.0000 (multiplicity 2)
Tm1 0.0000 0.5000 0.1294 (multiplicity 4)
Cu1 0.0000 0.3087 0.3256 (multiplicity 8)
Si1 0.0000 0.0000 0.2171 (multiplicity 4)
Ge1 0.0000 0.1926 0.5000 (multiplicity 4)

=====

The following is a PBE calculation of a relaxed structure of HoTm2Cu4Si2Ge2, from OQMD via LeMat-Bulk.

Properties
V   373 Å³/cell
Offset from the most stable computed form   10 kJ/mol of formula units
Total magnetization   0.00 Bohr magnetons per cell

Lattice parameters (Å, degrees): 4.1435 6.5780 13.6867 90.00 90.00 90.00
Space group Immm (No. 71)
Inequivalent atoms, fractional coordinates:
Ho1 0.0000 0.0000 0.0000 (multiplicity 2)
Tm1 0.0000 0.5000 0.1286 (multiplicity 4)
Cu1 0.0000 0.3087 0.3356 (multiplicity 8)
Si1 0.0000 0.1835 0.5000 (multiplicity 4)
Ge1 0.0000 0.0000 0.2174 (multiplicity 4)